First-principles (PBE) data for crystalline LaHf2Cd2 at its relaxed geometry, as listed in Alexandria via LeMat-Bulk.

The structure in POSCAR format:
```
LaHf2Cd2
1.0
8.639 0.000 0.000
0.000 8.639 0.000
0.000 0.000 3.299
La Hf Cd
2 4 4
direct
0.000 0.000 0.000 La
0.500 0.500 0.000 La
0.173 0.327 0.500 Hf
0.327 0.827 0.500 Hf
0.673 0.173 0.500 Hf
0.827 0.673 0.500 Hf
0.123 0.623 0.000 Cd
0.377 0.123 0.000 Cd
0.623 0.877 0.000 Cd
0.877 0.377 0.000 Cd
```

ΔE_f, meV per atom: 146.8
Energy relative to the lowest polymorph listed for this composition, meV/atom: 65.9
Symmetry: P4/mbm, No. 127